DFT (PBE) results for a relaxed NdGe2Pt5 crystal.

```
16
Lattice="3.9900 0.0000 0.0000 0.0000 7.2474 0.0000 0.0000 0.0000 9.9089" Properties=species:S:1:pos:R:3 pbc="T T T"
Nd 0.0000 0.0000 0.0000
Nd 1.9950 3.6237 4.9545
Ge 0.0000 3.6237 2.4870
Ge 0.0000 3.6237 7.4219
Ge 1.9950 0.0000 2.4675
Ge 1.9950 0.0000 7.4414
Pt 0.0000 1.4327 3.5280
Pt 0.0000 1.4327 6.3809
Pt 0.0000 3.6237 0.0000
Pt 0.0000 5.8146 3.5280
Pt 0.0000 5.8146 6.3809
Pt 1.9950 0.0000 4.9545
Pt 1.9950 2.1909 1.4265
Pt 1.9950 2.1909 8.4824
Pt 1.9950 5.0564 1.4265
Pt 1.9950 5.0564 8.4824
```

crystal system = orthorhombic

---

DFT (PBE) results for a relaxed Nd3Ge2Pt7 crystal.

```
12
Lattice="2.1078 -14.6631 0.0000 2.1078 14.6631 0.0000 0.0000 0.0000 4.0987" Properties=species:S:1:pos:R:3 pbc="T T T"
Nd 0.0000 0.0000 0.0000
Nd 2.1078 8.7355 0.0000
Nd 2.1078 -8.7355 0.0000
Ge 2.1078 2.4251 2.0494
Ge 2.1078 -2.4251 2.0494
Pt 2.1078 10.8950 2.0494
Pt 2.1078 6.1891 2.0494
Pt 2.1078 3.8162 0.0000
Pt 2.1078 0.0000 2.0494
Pt 2.1078 -3.8162 0.0000
Pt 2.1078 -6.1891 2.0494
Pt 2.1078 -10.8950 2.0494
```

crystal system = orthorhombic

---

DFT (PBE) results for a relaxed NdGe2Pt3 crystal.

```
12
Lattice="4.1020 0.0000 0.0000 0.0000 4.1020 0.0000 0.0000 0.0000 15.5763" Properties=species:S:1:pos:R:3 pbc="T T T"
Nd 0.0000 0.0000 0.0000
Nd 2.0510 2.0510 7.7881
Ge 0.0000 0.0000 5.3686
Ge 0.0000 0.0000 10.2076
Ge 2.0510 2.0510 2.4195
Ge 2.0510 2.0510 13.1568
Pt 0.0000 0.0000 7.7881
Pt 0.0000 2.0510 3.8941
Pt 0.0000 2.0510 11.6822
Pt 2.0510 0.0000 3.8941
Pt 2.0510 0.0000 11.6822
Pt 2.0510 2.0510 0.0000
```

crystal system = tetragonal

---

Number 1: E_tot -6.24 eV per atom, M_tot 0.0 μB/f.u.. Number 2: E_tot -6.28 eV per atom, M_tot 0.0 μB/f.u.. Number 3: E_tot -5.97 eV per atom, M_tot 0.0 μB/f.u..